[1]
# PtWNF2 (GGA+U, relaxed)
# Density of states at the Fermi level, states/eV per atom: 1.1829
# VASP energy, Ry/atom: -0.338
# Spin magnetization, μB/f.u.: 4.4
# Theoretical density, Mg/m³: 8.98
data_PtWNF2
_cell_length_a 4.657
_cell_length_b 4.657
_cell_length_c 3.674
_cell_angle_alpha 90.00
_cell_angle_beta 90.00
_cell_angle_gamma 90.00
_space_group_name_H-M_alt 'P 4/m m m'
_space_group_IT_number 123
_space_group_name_Hall '-P 4 2'
loop_
_atom_site_label
_atom_site_type_symbol
_atom_site_fract_x
_atom_site_fract_y
_atom_site_fract_z
Pt1 Pt 0.000 0.000 0.000
W1 W 0.500 0.500 0.500
N1 N 0.000 0.000 0.500
F1 F 0.000 0.500 0.000


[2]
# CrPO5 (GGA+U, relaxed)
# VASP energy, Ry/atom: -0.513
# Spin magnetization, μB/f.u.: 1.0
# Theoretical density, Mg/m³: 3.28
data_CrPO5
_cell_length_a 11.983
_cell_length_b 15.933
_cell_length_c 6.913
_cell_angle_alpha 90.00
_cell_angle_beta 90.00
_cell_angle_gamma 90.00
_space_group_name_H-M_alt 'F d d 2'
_space_group_IT_number 43
_space_group_name_Hall 'F 2 -2d'
loop_
_atom_site_label
_atom_site_type_symbol
_atom_site_fract_x
_atom_site_fract_y
_atom_site_fract_z
Cr1 Cr 0.109 0.118 0.000
P1 P 0.000 0.216 0.392
O1 O 0.002 0.078 0.887
O2 O 0.019 0.159 0.217
O3 O 0.021 0.339 0.072
O4 O 0.104 0.225 0.873
O5 O 0.105 0.274 0.413